Below is Sr3Li8Pd after structural relaxation, with properties calculated at the PBE level.

```
data_Sr3Li8Pd
_chemical_formula_sum 'Sr3 Li8 Pd1'
_cell_length_a 6.0655
_cell_length_b 6.0655
_cell_length_c 10.4995
_cell_angle_alpha 73.21
_cell_angle_beta 73.21
_cell_angle_gamma 60.00
_symmetry_space_group_name_H-M 'P 1'
_symmetry_Int_Tables_number 1
_symmetry_space_group_name_Hall 'P 1'
loop_
_atom_site_label
_atom_site_type_symbol
_atom_site_fract_x
_atom_site_fract_y
_atom_site_fract_z
Li1 Li 0.5708 0.5708 0.8021
Li2 Li 0.8090 0.8090 0.5729
Li3 Li 0.3133 0.3133 0.0602
Pd1 Pd 0.1382 0.1382 0.5853
Sr1 Sr 0.4897 0.4897 0.5310
Sr2 Sr 0.6233 0.6233 0.1301
Li4 Li 0.0609 0.5333 0.3449
Sr3 Sr 0.0236 0.0236 0.9293
Li5 Li 0.0609 0.0609 0.3449
Li6 Li 0.0563 0.5708 0.8021
Li7 Li 0.5708 0.0563 0.8021
Li8 Li 0.5333 0.0609 0.3449
```

Summary:
* calculated total energy: -2.131 eV/atom
* crystal system: trigonal
* density of states at the Fermi level: 0.637 states/eV per atom